No. 1
The following is a DFT calculation (PBE) of an optimized crystal structure of TaSi2Ag.

Calculated values
VASP energy: -6.32 eV per atom
Formation energy without anion corrections: 0.07 eV/atom

Structure (extended XYZ):
```
4
Lattice="-4.7914 -0.6448 -0.8015 0.5680 -2.3275 -1.5234 -0.2938 -2.5757 3.8286" Properties=species:S:1:pos:R:3 pbc="T T T"
Si -2.2567 -1.8397 -0.0108
Si 0.4964 -2.0479 -1.3199
Ag -2.1183 -4.2827 1.1269
Ta 0.0666 -2.1568 1.3367
```

---

No. 2
The following is a DFT calculation (PBE) of an optimized crystal structure of TaSiAg.

Calculated values
VASP energy: -6.12 eV per atom
Formation energy without anion corrections: 0.59 eV/atom

Structure (extended XYZ):
```
3
Lattice="-2.8672 2.9152 1.6004 -2.3564 -0.9733 3.5750 0.8310 2.0384 3.7993" Properties=species:S:1:pos:R:3 pbc="T T T"
Ag 0.0000 0.0000 0.0000
Si -2.1963 1.9902 4.4873
Ta -3.2944 2.9853 6.7310
```

---

No. 3
The following is a DFT calculation (PBE) of an optimized crystal structure of TaSiAg2.

Calculated values
VASP energy: -5.40 eV per atom
Formation energy without anion corrections: 0.35 eV/atom

Structure (extended XYZ):
```
4
Lattice="-2.0388 0.2483 -1.8723 2.0163 -1.6100 -1.0326 -4.2848 -7.7036 3.6442" Properties=species:S:1:pos:R:3 pbc="T T T"
Si -1.0824 -2.6067 -0.5414
Ag -0.0321 -0.0576 0.0273
Ag -2.1104 -3.7942 1.7948
Ta -3.2249 -6.4586 1.2807
```